Material: Li3LaCr4O12
Method: DFT, PBE+U
State: relaxed

total magnetic moment: 6.00 μB/f.u.
electronic total energy: -6.7945 eV/atom

Cell lengths 7.3771, 7.3771, 7.3771 Å; angles 90.00, 90.00, 90.00 degrees
Last column: nearest neighbours and their distance in Å.
Space group Im-3 (No. 204)
Unique sites:
Li  0.0000  0.0000  0.5000 (multiplicity 6)  4 O 2.04
La  0.0000  0.0000  0.0000 (multiplicity 2)  12 O 2.58
Cr  0.2500  0.2500  0.2500 (multiplicity 8)  6 O 1.93
O  0.0000  0.1865  0.2954 (multiplicity 24)  2 Cr 1.93, 1 Li 2.04